Entry 1:
Rb6PuBr12: optimized geometry, PBE.

Cell: 9.634 9.634 9.634 Å, 97.79 97.79 97.79°
Site moments in Bohr magnetons follow the coordinates.
Fractional positions:
Rb: 0.160 0.283 0.625  0.00
Rb: 0.717 0.375 0.840  0.00
Rb: 0.375 0.840 0.717  0.00
Rb: 0.840 0.717 0.375  0.00
Rb: 0.283 0.625 0.160  0.00
Rb: 0.625 0.160 0.283  0.00
Pu: 0.000 0.000 0.000  4.46
Br: 0.467 0.150 0.582  0.23
Br: 0.150 0.582 0.467  0.23
Br: 0.582 0.467 0.150  0.23
Br: 0.533 0.850 0.418  0.23
Br: 0.850 0.418 0.533  0.23
Br: 0.418 0.533 0.850  0.23
Br: 0.016 0.942 0.713  -0.07
Br: 0.287 0.984 0.058  -0.07
Br: 0.058 0.287 0.984  -0.07
Br: 0.984 0.058 0.287  -0.07
Br: 0.713 0.016 0.942  -0.07
Br: 0.942 0.713 0.016  -0.07

Summary:
- Raw formation energy: -1391 meV per atom
- Space-group type: R-3
- Crystal system: trigonal
- Energy: -66.6 eV per formula unit

---

Entry 2:
Rb2PuS2Br2: optimized geometry, PBE.

Cell: 5.230 5.230 9.646 Å, 105.73 105.73 90.00°
Site moments in Bohr magnetons follow the coordinates.
Fractional positions:
Rb: 0.364 0.364 0.727  0.00
Rb: 0.636 0.636 0.273  0.00
Pu: 0.000 0.000 0.000  4.55
S: 0.000 0.500 0.000  -0.20
S: 0.500 0.000 0.000  -0.20
Br: 0.164 0.164 0.328  -0.03
Br: 0.836 0.836 0.672  -0.03

Summary:
- Raw formation energy: -1537 meV per atom
- Space-group type: I4/mmm
- Crystal system: tetragonal
- Energy: -38.6 eV per formula unit

---

Entry 3:
Rb2PuSe2Br2: optimized geometry, PBE.

Cell: 5.494 5.494 9.669 Å, 106.51 106.51 90.00°
Site moments in Bohr magnetons follow the coordinates.
Fractional positions:
Rb: 0.361 0.361 0.723  0.00
Rb: 0.639 0.639 0.277  0.00
Pu: 0.000 0.000 0.000  -4.68
Se: 0.000 0.500 0.000  0.23
Se: 0.500 0.000 0.000  0.23
Br: 0.164 0.164 0.329  0.03
Br: 0.836 0.836 0.671  0.03

Summary:
- Raw formation energy: -1462 meV per atom
- Space-group type: I4/mmm
- Crystal system: tetragonal
- Energy: -36.8 eV per formula unit

---

Entry 4:
Rb2PuSnBr6: optimized geometry, PBE.

Cell: 7.956 8.438 11.527 Å, 90.00 89.51 90.00°
Site moments in Bohr magnetons follow the coordinates.
Fractional positions:
Rb: 0.026 0.926 0.251  0.00
Rb: 0.526 0.574 0.751  0.00
Rb: 0.974 0.074 0.749  0.00
Rb: 0.474 0.426 0.249  0.00
Pu: 0.500 0.000 0.500  5.65
Pu: 0.000 0.500 0.000  5.65
Sn: 0.500 0.000 0.000  0.12
Sn: 0.000 0.500 0.500  0.12
Br: 0.301 0.695 0.051  -0.01
Br: 0.801 0.805 0.551  -0.01
Br: 0.699 0.305 0.949  -0.01
Br: 0.199 0.195 0.449  -0.01
Br: 0.309 0.705 0.449  -0.01
Br: 0.809 0.795 0.949  -0.01
Br: 0.691 0.295 0.551  -0.01
Br: 0.191 0.205 0.051  -0.01
Br: 0.900 0.527 0.248  -0.01
Br: 0.400 0.973 0.748  -0.01
Br: 0.100 0.473 0.752  -0.01
Br: 0.600 0.027 0.252  -0.01

Summary:
- Raw formation energy: -1370 meV per atom
- Space-group type: P2_1/c
- Crystal system: monoclinic
- Energy: -44.0 eV per formula unit